Record 1
{"formula": "LaZrSe4", "functional": "GGA-PBE", "state": "optimized geometry", "relative_energy_mev_per_atom": 1229, "total_magnetization_mub_per_cell": 2.7, "final_energy_ev_per_cell": -27.6, "spacegroup": "F-43m, No. 216", "raw_formation_energy_ev_per_atom": -0.038, "lattice_angstrom": [[-2.1473, -4.5844, -2.9355], [-5.4038, -1.9344, 1.1409], [-4.2746, 0.7775, -3.9202]], "species": ["La", "Zr", "Se", "Se", "Se", "Se"], "frac_coords": [[0.0000, 0.0000, 0.0000], [0.7500, 0.7500, 0.7500], [0.8734, 0.3755, 0.3755], [0.3755, 0.3755, 0.8734], [0.3755, 0.8734, 0.3755], [0.3755, 0.3755, 0.3755]]}

***

Record 2
{"formula": "Sr2BiSb3Rh4", "functional": "GGA-PBE", "state": "optimized geometry", "total_magnetization_mub_per_cell": 0.0, "final_energy_ev_per_cell": -55.4, "spacegroup": "P-4m2, No. 115", "raw_formation_energy_ev_per_atom": -0.643, "lattice_angstrom": [[-2.3724, -0.2536, -3.9501], [-2.9761, -2.9220, 1.9750], [-6.1273, 8.3649, 3.1430]], "species": ["Sr", "Sr", "Bi", "Sb", "Sb", "Sb", "Rh", "Rh", "Rh", "Rh"], "frac_coords": [[0.5000, 0.0000, 0.2448], [0.0000, 0.5000, 0.7552], [0.5000, 0.5000, 0.5000], [0.0000, 0.0000, 0.5000], [0.5000, 0.0000, 0.8753], [0.0000, 0.5000, 0.1247], [0.5000, 0.5000, 0.0000], [0.0000, 0.0000, 0.0000], [0.5000, 0.0000, 0.6334], [0.0000, 0.5000, 0.3666]]}

***

Record 3
{"formula": "CePrFe", "functional": "GGA-PBE", "state": "optimized geometry", "relative_energy_mev_per_atom": 0, "total_magnetization_mub_per_cell": 0.0, "ef_ev_per_fu": 0.011, "final_energy_ev_per_cell": -76.7, "spacegroup": "P2_1/c, No. 14", "lattice_angstrom": [[-2.9985, -5.0750, -2.3339], [6.0665, -3.2130, -0.8074], [-1.7499, -2.0381, 6.6798]], "species": ["Ce", "Ce", "Ce", "Ce", "Pr", "Pr", "Pr", "Pr", "Fe", "Fe", "Fe", "Fe"], "frac_coords": [[0.6862, 0.1679, 0.4795], [0.1862, 0.8321, 0.0205], [0.3138, 0.8321, 0.5205], [0.8138, 0.1679, 0.9795], [0.6751, 0.6569, 0.8529], [0.8249, 0.6569, 0.3529], [0.3249, 0.3431, 0.1471], [0.1751, 0.3431, 0.6471], [0.4345, 0.0159, 0.7671], [0.0655, 0.0159, 0.2671], [0.5655, 0.9841, 0.2329], [0.9345, 0.9841, 0.7329]]}

***

Record 4
{"formula": "LiNd3U3Se8", "functional": "GGA-PBE", "state": "optimized geometry", "total_magnetization_mub_per_cell": 8.1, "final_energy_ev_per_cell": -99.4, "spacegroup": "R-3m, No. 166", "raw_formation_energy_ev_per_atom": -1.433, "lattice_angstrom": [[8.1745, 0.0001, 0.0000], [-4.0872, 7.0809, -0.0256], [0.0000, -4.6969, 6.8946]], "species": ["Li", "Nd", "Nd", "Nd", "U", "U", "U", "Se", "Se", "Se", "Se", "Se", "Se", "Se", "Se"], "frac_coords": [[0.0000, 0.0000, 0.5000], [0.0000, 0.0000, 0.0000], [0.0000, 0.5000, 0.0000], [0.5000, 0.5000, 0.0000], [0.5000, 0.0000, 0.5000], [0.5000, 0.5000, 0.5000], [0.0000, 0.5000, 0.5000], [0.2528, 0.5056, 0.2583], [0.7472, 0.4944, 0.7417], [0.7539, 0.5078, 0.2619], [0.2461, 0.4922, 0.7381], [0.7540, 0.0080, 0.2620], [0.2460, 0.9920, 0.7380], [0.2540, 0.0080, 0.2620], [0.7460, 0.9920, 0.7380]]}

***

Record 5
{"formula": "Cu2HgW", "functional": "GGA-PBE", "state": "optimized geometry", "total_magnetization_mub_per_cell": 0.0, "ef_ev_per_fu": 2.042, "final_energy_ev_per_cell": -19.4, "spacegroup": "Pm, No. 6", "lattice_angstrom": [[-1.1223, -3.8582, 1.2111], [2.3576, -0.2574, 1.3646], [-1.0967, 1.8983, 5.0309]], "species": ["Cu", "Cu", "Hg", "W"], "frac_coords": [[0.0000, 0.1934, 0.9858], [0.5000, 0.0641, 0.2467], [0.0000, 0.4512, 0.4733], [0.5000, 0.7913, 0.7943]]}

***

Record 6
{"formula": "La2AlTe", "functional": "GGA-PBE", "state": "optimized geometry", "relative_energy_mev_per_atom": 696, "total_magnetization_mub_per_cell": 0.0, "final_energy_ev_per_cell": -17.8, "spacegroup": "F-43m, No. 216", "raw_formation_energy_ev_per_atom": -0.276, "lattice_angstrom": [[-4.6082, 1.8348, -2.1598], [-4.6606, -2.5615, 0.9925], [-3.7364, 2.3091, 3.1583]], "species": ["Te", "Al", "La", "La"], "frac_coords": [[0.7500, 0.7500, 0.7500], [0.5000, 0.5000, 0.5000], [0.0000, 0.0000, 0.0000], [0.2500, 0.2500, 0.2500]]}